# 1
First-principles (GGA-PBE) data for a geometry-optimized TlSnHgTe2 structure, as listed in Alexandria.

The value obtained for the formation energy from raw total energies is -0.17 eV per atom.

Cell: 4.174 9.169 9.791 Å, 106.23 90.00 90.00°
Sites, in units of the cell vectors:
Te (0.250, 0.197, 0.954)
Sn (0.750, 0.138, 0.167)
Te (0.750, 0.815, 0.604)
Hg (0.250, 0.499, 0.761)
Sn (0.250, 0.862, 0.833)
Hg (0.750, 0.501, 0.239)
Te (0.750, 0.803, 0.046)
Tl (0.750, 0.183, 0.668)
Tl (0.250, 0.817, 0.332)
Te (0.250, 0.185, 0.396)



# 2
First-principles (GGA-PBE) data for a geometry-optimized Li4Ac2AlSn3 structure, as listed in Alexandria.

The formation energy comes out at -467 meV/atom.

Cell: 4.645 4.645 11.229 Å, 90.00 90.00 90.00°
Sites, in units of the cell vectors:
Sn (0.000, 0.500, 0.130)
Li (0.000, 0.500, 0.369)
Li (0.500, 0.000, 0.631)
Ac (0.500, 0.000, 0.245)
Ac (0.000, 0.500, 0.755)
Al (0.500, 0.500, 0.500)
Li (0.500, 0.500, 0.000)
Sn (0.000, 0.000, 0.500)
Li (0.000, 0.000, 0.000)
Sn (0.500, 0.000, 0.870)



What did the first record say?
First-principles (GGA-PBE) data for a geometry-optimized TlSnHgTe2 structure, as listed in Alexandria.

The value obtained for the formation energy from raw total energies is -0.17 eV per atom.

Cell: 4.174 9.169 9.791 Å, 106.23 90.00 90.00°
Sites, in units of the cell vectors:
Te (0.250, 0.197, 0.954)
Sn (0.750, 0.138, 0.167)
Te (0.750, 0.815, 0.604)
Hg (0.250, 0.499, 0.761)
Sn (0.250, 0.862, 0.833)
Hg (0.750, 0.501, 0.239)
Te (0.750, 0.803, 0.046)
Tl (0.750, 0.183, 0.668)
Tl (0.250, 0.817, 0.332)
Te (0.250, 0.185, 0.396)